VASP calculation (GGA-PBE) on KSrSc4 after structural relaxation.

Calculated values
space-group type	F-43m, No. 216
DFT formation energy	0.49	eV per atom
crystal system	cubic
final energy	-4.196	eV per atom

Unit cell a=6.626 b=6.626 c=6.626 alpha=60.00 beta=60.00 gamma=60.00
Each line ends with the local moment (μB).
Fractional coordinates of all 6 atoms:
K (0.000, 0.000, 0.000)  0.01
Sr (0.750, 0.750, 0.750)  0.07
Sc (0.378, 0.867, 0.378)  0.38
Sc (0.867, 0.378, 0.378)  0.38
Sc (0.378, 0.378, 0.867)  0.38
Sc (0.378, 0.378, 0.378)  0.38

=====

VASP calculation (GGA-PBE) on KSrSc2 after structural relaxation.

Calculated values
space-group type	P4/mmm, No. 123
DFT formation energy	0.65	eV per atom
crystal system	tetragonal
final energy	-3.207	eV per atom

Unit cell a=5.901 b=4.996 c=4.996 alpha=90.00 beta=90.00 gamma=90.00
Each line ends with the local moment (μB).
Fractional coordinates of all 4 atoms:
K (0.500, 0.000, 0.500)  0.01
Sc (0.000, 0.000, 0.000)  0.45
Sc (0.000, 0.500, 0.500)  0.45
Sr (0.500, 0.500, 0.000)  0.04

=====

VASP calculation (GGA-PBE) on KSr2Sc after structural relaxation.

Calculated values
space-group type	P4mm, No. 99
DFT formation energy	0.35	eV per atom
crystal system	tetragonal
final energy	-2.348	eV per atom

Unit cell a=3.925 b=3.925 c=12.246 alpha=90.00 beta=90.00 gamma=90.00
Each line ends with the local moment (μB).
Fractional coordinates of all 4 atoms:
K (0.000, 0.000, 0.529)  0.00
Sc (0.500, 0.500, 0.772)  0.68
Sr (0.000, 0.000, 0.968)  0.07
Sr (0.500, 0.500, 0.231)  -0.02